Density functional theory data (PBE) for crystalline Al6Sn at its relaxed geometry. Values from VASP.

Properties
total DFT energy (no corrections): -3.07 eV/atom
space-group type: Im-3m, No. 229
crystal system: cubic
energy of formation: 0.71 eV per atom

Quantum ESPRESSO input file:
```
&SYSTEM
  ibrav = 0, nat = 7, ntyp = 2
/
ATOMIC_SPECIES
Al 26.98 Al.upf
Sn 118.71 Sn.upf
CELL_PARAMETERS angstrom
-3.634 3.634 3.634
3.634 -3.634 3.634
3.634 3.634 -3.634
ATOMIC_POSITIONS angstrom
Al 3.634 1.817 0.000
Al 3.634 0.000 1.817
Al 1.817 3.634 0.000
Al 1.817 0.000 3.634
Al 0.000 3.634 1.817
Al 0.000 1.817 3.634
Sn 0.000 0.000 0.000
```